DFT (GGA-PBE) results for a relaxed structure of TbGa3PtRh.

Computed properties:
formation energy from the elements: -0.615 eV/atom
crystal system: orthorhombic
SG: Cmcm, No. 63
total moment: 0.00 μB per formula unit
E_tot: -5.132 eV/atom

```
TbGa3PtRh
1.0
-5.1052 2.0755 -1.1882
-2.3692 -5.8708 -0.0754
-0.0612 3.3600 6.1320
Ga Pt Rh Tb
6 2 2 2
direct
0.7500 0.8554 0.7108
0.2500 0.1446 0.2892
0.0000 0.6964 0.0000
0.5000 0.3036 0.0000
0.5000 0.6964 0.0000
0.0000 0.3036 0.0000
0.2500 0.3441 0.6882
0.7500 0.6559 0.3118
0.7500 0.0605 0.1210
0.2500 0.9395 0.8790
0.2500 0.7268 0.4537
0.7500 0.2732 0.5463
```